[1]
{
  "formula": "SbPbS4",
  "functional": "PBE-GGA",
  "state": "optimized geometry",
  "e_form_raw_kj_per_mol_atoms": -4.3,
  "relative_energy_mev_per_atom": 79.1,
  "lattice_angstrom": [[6.508, 0.000, 0.000], [0.000, 3.762, 0.000], [-0.078, 0.000, 6.751]],
  "species": ["Sb", "Pb", "S", "S", "S", "S"],
  "fractional_positions": [[0.000, 0.000, 0.000], [0.000, 0.500, 0.500], [0.233, 0.500, 0.859], [0.237, 0.000, 0.300], [0.763, 0.000, 0.700], [0.767, 0.500, 0.141]]
}

=====

[2]
{
  "formula": "ThZnCoRu",
  "functional": "PBE-GGA",
  "state": "optimized geometry",
  "delta_e_f_ev_per_atom": -0.163,
  "lattice_angstrom": [[0.000, 3.247, 3.247], [3.247, 0.000, 3.247], [3.247, 3.247, 0.000]],
  "species": ["Th", "Zn", "Co", "Ru"],
  "fractional_positions": [[0.000, 0.000, 0.000], [0.500, 0.500, 0.500], [0.750, 0.750, 0.750], [0.250, 0.250, 0.250]]
}

=====

[3]
{
  "formula": "ErGa4Pt8",
  "functional": "PBE-GGA",
  "state": "optimized geometry",
  "delta_e_f_ev_per_atom": -0.477,
  "lattice_angstrom": [[6.124, 0.000, 0.000], [0.000, 6.124, 0.000], [0.000, 0.000, 6.124]],
  "species": ["Er", "Ga", "Ga", "Ga", "Ga", "Pt", "Pt", "Pt", "Pt", "Pt", "Pt", "Pt", "Pt"],
  "fractional_positions": [[0.000, 0.000, 0.000], [0.000, 0.500, 0.500], [0.500, 0.000, 0.500], [0.500, 0.500, 0.000], [0.500, 0.500, 0.500], [0.257, 0.257, 0.257], [0.257, 0.257, 0.743], [0.257, 0.743, 0.257], [0.257, 0.743, 0.743], [0.743, 0.257, 0.257], [0.743, 0.257, 0.743], [0.743, 0.743, 0.257], [0.743, 0.743, 0.743]]
}

=====

[4]
{
  "formula": "NaMg2AgBr6",
  "functional": "PBE-GGA",
  "state": "optimized geometry",
  "e_form_raw_kj_per_mol_atoms": -117.3,
  "lattice_angstrom": [[6.929, -6.416, 0.000], [6.929, 6.416, 0.000], [-1.672, 0.000, 7.080]],
  "species": ["Na", "Na", "Mg", "Mg", "Mg", "Mg", "Ag", "Ag", "Br", "Br", "Br", "Br", "Br", "Br", "Br", "Br", "Br", "Br", "Br", "Br"],
  "fractional_positions": [[0.240, 0.760, 0.750], [0.760, 0.240, 0.250], [0.112, 0.289, 0.802], [0.289, 0.112, 0.302], [0.711, 0.888, 0.698], [0.888, 0.711, 0.198], [0.393, 0.607, 0.250], [0.607, 0.393, 0.750], [0.061, 0.205, 0.101], [0.118, 0.621, 0.372], [0.205, 0.061, 0.601], [0.305, 0.468, 0.876], [0.379, 0.882, 0.128], [0.468, 0.305, 0.376], [0.532, 0.695, 0.624], [0.621, 0.118, 0.872], [0.695, 0.532, 0.124], [0.795, 0.939, 0.399], [0.882, 0.379, 0.628], [0.939, 0.795, 0.899]]
}

=====

[5]
{
  "formula": "ThMgSi2",
  "functional": "PBE-GGA",
  "state": "optimized geometry",
  "e_form_raw_kj_per_mol_atoms": -29.5,
  "lattice_angstrom": [[4.565, 0.000, 0.000], [0.000, 4.565, 0.000], [0.000, 0.000, 4.066]],
  "species": ["Th", "Mg", "Si", "Si"],
  "fractional_positions": [[0.000, 0.000, 0.000], [0.500, 0.500, 0.000], [0.000, 0.500, 0.500], [0.500, 0.000, 0.500]]
}

=====

[6]
{
  "formula": "CaFe2Ge2",
  "functional": "PBE-GGA",
  "state": "optimized geometry",
  "delta_e_f_ev_per_atom": 0.014,
  "lattice_angstrom": [[7.467, 0.000, 0.000], [0.000, 7.467, 0.000], [0.000, 0.000, 2.740]],
  "species": ["Ca", "Ca", "Fe", "Fe", "Fe", "Fe", "Ge", "Ge", "Ge", "Ge"],
  "fractional_positions": [[0.000, 0.000, 0.000], [0.500, 0.500, 0.000], [0.138, 0.362, 0.500], [0.362, 0.862, 0.500], [0.638, 0.138, 0.500], [0.862, 0.638, 0.500], [0.148, 0.648, 0.000], [0.352, 0.148, 0.000], [0.648, 0.852, 0.000], [0.852, 0.352, 0.000]]
}

=====

[7]
{
  "formula": "VTePN2",
  "functional": "PBE-GGA",
  "state": "optimized geometry",
  "e_form_raw_kj_per_mol_atoms": 62.5,
  "relative_energy_mev_per_atom": 0.0,
  "lattice_angstrom": [[3.760, 0.000, 0.000], [0.000, 3.760, 0.000], [0.000, 0.000, 5.856]],
  "species": ["V", "Te", "P", "N", "N"],
  "fractional_positions": [[0.000, 0.000, 0.000], [0.000, 0.000, 0.500], [0.500, 0.500, 0.500], [0.000, 0.500, 0.000], [0.500, 0.000, 0.000]]
}

=====

[8]
{
  "formula": "NiC",
  "functional": "PBE-GGA",
  "state": "optimized geometry",
  "delta_e_f_ev_per_atom": 0.656,
  "lattice_angstrom": [[3.850, -1.501, 0.000], [3.850, 1.501, 0.000], [-2.284, 0.000, 4.644]],
  "species": ["Ni", "Ni", "Ni", "C", "C", "C"],
  "fractional_positions": [[0.000, 0.000, 0.000], [0.220, 0.220, 0.807], [0.534, 0.534, 0.397], [0.768, 0.768, 0.346], [0.779, 0.779, 0.074], [0.941, 0.941, 0.602]]
}

=====

[9]
{
  "formula": "NaNdBr4",
  "functional": "PBE-GGA",
  "state": "optimized geometry",
  "e_form_raw_kj_per_mol_atoms": -169.4,
  "relative_energy_mev_per_atom": 0.0,
  "lattice_angstrom": [[6.994, 0.000, 0.000], [0.000, 4.378, 0.000], [-0.632, 0.000, 7.621]],
  "species": ["Na", "Nd", "Br", "Br", "Br", "Br"],
  "fractional_positions": [[0.000, 0.000, 0.000], [0.000, 0.500, 0.500], [0.212, 0.500, 0.195], [0.237, 0.000, 0.662], [0.763, 0.000, 0.338], [0.788, 0.500, 0.805]]
}

=====

[10]
{
  "formula": "KLa2GaO",
  "functional": "PBE-GGA",
  "state": "optimized geometry",
  "e_form_raw_kj_per_mol_atoms": 112.1,
  "lattice_angstrom": [[5.651, 0.000, 0.000], [0.000, 5.651, 0.000], [0.000, 0.000, 4.777]],
  "species": ["K", "La", "La", "Ga", "O"],
  "fractional_positions": [[0.000, 0.000, 0.000], [0.000, 0.500, 0.000], [0.500, 0.000, 0.000], [0.000, 0.000, 0.500], [0.500, 0.500, 0.500]]
}

=====

[11]
{
  "formula": "CdTe2Ir",
  "functional": "PBE-GGA",
  "state": "optimized geometry",
  "e_form_raw_kj_per_mol_atoms": 5.1,
  "lattice_angstrom": [[1.965, 1.134, 7.879], [-1.965, 1.134, 7.879], [0.000, -2.269, 7.879]],
  "species": ["Cd", "Te", "Te", "Ir"],
  "fractional_positions": [[0.000, 0.000, 0.000], [0.538, 0.538, 0.538], [0.743, 0.743, 0.743], [0.256, 0.256, 0.256]]
}

=====

[12]
{
  "formula": "Tb2Y4Er3",
  "functional": "PBE-GGA",
  "state": "optimized geometry",
  "delta_e_f_ev_per_atom": 0.097,
  "relative_energy_mev_per_atom": 22.8,
  "lattice_angstrom": [[8.068, -5.782, 0.000], [8.068, 5.782, 0.000], [-0.614, 0.000, 6.100]],
  "species": ["Tb", "Tb", "Tb", "Tb", "Y", "Y", "Y", "Y", "Y", "Y", "Y", "Y", "Er", "Er", "Er", "Er", "Er", "Er"],
  "fractional_positions": [[0.024, 0.736, 0.677], [0.264, 0.976, 0.823], [0.736, 0.024, 0.177], [0.976, 0.264, 0.323], [0.073, 0.352, 0.848], [0.311, 0.596, 0.987], [0.352, 0.073, 0.348], [0.404, 0.689, 0.513], [0.596, 0.311, 0.487], [0.648, 0.927, 0.652], [0.689, 0.404, 0.013], [0.927, 0.648, 0.152], [0.094, 0.906, 0.250], [0.236, 0.431, 0.415], [0.431, 0.236, 0.915], [0.569, 0.764, 0.085], [0.764, 0.569, 0.585], [0.906, 0.094, 0.750]]
}

=====

[13]
{
  "formula": "Ba2CdGa4Ge3",
  "functional": "PBE-GGA",
  "state": "optimized geometry",
  "delta_e_f_ev_per_atom": -0.356,
  "lattice_angstrom": [[4.814, 0.000, 0.000], [0.000, 4.814, 0.000], [0.000, 0.000, 10.490]],
  "species": ["Ba", "Ba", "Cd", "Ga", "Ga", "Ga", "Ga", "Ge", "Ge", "Ge"],
  "fractional_positions": [[0.000, 0.500, 0.245], [0.500, 0.000, 0.755], [0.000, 0.000, 0.500], [0.000, 0.000, 0.000], [0.000, 0.500, 0.633], [0.500, 0.000, 0.367], [0.500, 0.500, 0.000], [0.000, 0.500, 0.882], [0.500, 0.000, 0.118], [0.500, 0.500, 0.500]]
}

=====

[14]
{
  "formula": "La2Al2Co2C",
  "functional": "PBE-GGA",
  "state": "optimized geometry",
  "delta_e_f_ev_per_atom": -0.381,
  "lattice_angstrom": [[5.661, -2.084, 0.000], [5.661, 2.084, 0.000], [-4.727, 0.000, 5.604]],
  "species": ["La", "La", "Al", "Al", "Co", "Co", "C"],
  "fractional_positions": [[0.056, 0.056, 0.291], [0.944, 0.944, 0.709], [0.325, 0.325, 0.254], [0.675, 0.675, 0.746], [0.313, 0.313, 0.914], [0.687, 0.687, 0.086], [0.500, 0.500, 0.000]]
}

=====

[15]
{
  "formula": "HfSe",
  "functional": "PBE-GGA",
  "state": "optimized geometry",
  "e_form_raw_kj_per_mol_atoms": -79.8,
  "lattice_angstrom": [[3.487, 0.000, 0.000], [0.000, 5.044, 3.756], [0.000, -5.044, 3.756]],
  "species": ["Hf", "Hf", "Hf", "Se", "Se", "Se"],
  "fractional_positions": [[0.000, 0.000, 0.000], [0.500, 0.301, 0.792], [0.500, 0.792, 0.301], [0.000, 0.131, 0.456], [0.000, 0.456, 0.131], [0.500, 0.720, 0.720]]
}

=====

[16]
{
  "formula": "ErGa4Ag12",
  "functional": "PBE-GGA",
  "state": "optimized geometry",
  "delta_e_f_ev_per_atom": 0.240,
  "lattice_angstrom": [[-4.502, 4.502, 4.502], [4.502, -4.502, 4.502], [4.502, 4.502, -4.502]],
  "species": ["Er", "Ga", "Ga", "Ga", "Ga", "Ag", "Ag", "Ag", "Ag", "Ag", "Ag", "Ag", "Ag", "Ag", "Ag", "Ag", "Ag"],
  "fractional_positions": [[0.000, 0.000, 0.000], [0.000, 0.000, 0.500], [0.000, 0.500, 0.000], [0.500, 0.000, 0.000], [0.500, 0.500, 0.500], [0.154, 0.498, 0.344], [0.154, 0.809, 0.656], [0.191, 0.344, 0.846], [0.344, 0.154, 0.498], [0.344, 0.846, 0.191], [0.498, 0.344, 0.154], [0.502, 0.656, 0.846], [0.656, 0.154, 0.809], [0.656, 0.846, 0.502], [0.809, 0.656, 0.154], [0.846, 0.191, 0.344], [0.846, 0.502, 0.656]]
}

=====

[17]
{
  "formula": "PmHo2Mg",
  "functional": "PBE-GGA",
  "state": "optimized geometry",
  "delta_e_f_ev_per_atom": -0.027,
  "relative_energy_mev_per_atom": 2.8,
  "lattice_angstrom": [[3.625, 0.000, 0.000], [0.000, 3.625, 0.000], [0.000, 0.000, 9.111]],
  "species": ["Pm", "Ho", "Ho", "Mg"],
  "fractional_positions": [[0.000, 0.000, 0.000], [0.500, 0.500, 0.272], [0.500, 0.500, 0.728], [0.000, 0.000, 0.500]]
}

=====

[18]
{
  "formula": "CsSrSb2Pb",
  "functional": "PBE-GGA",
  "state": "optimized geometry",
  "e_form_raw_kj_per_mol_atoms": 5.8,
  "lattice_angstrom": [[6.132, 0.000, 0.000], [0.000, 6.132, 0.000], [0.000, 0.000, 6.085]],
  "species": ["Cs", "Sr", "Sb", "Sb", "Pb"],
  "fractional_positions": [[0.000, 0.000, 0.000], [0.500, 0.500, 0.000], [0.000, 0.500, 0.500], [0.500, 0.000, 0.500], [0.500, 0.500, 0.500]]
}

=====

[19]
{
  "formula": "CsBaP2",
  "functional": "PBE-GGA",
  "state": "optimized geometry",
  "delta_e_f_ev_per_atom": 0.012,
  "relative_energy_mev_per_atom": 22.8,
  "lattice_angstrom": [[0.000, 4.048, 4.048], [4.048, 0.000, 4.048], [4.048, 4.048, 0.000]],
  "species": ["Cs", "Ba", "P", "P"],
  "fractional_positions": [[0.000, 0.000, 0.000], [0.500, 0.500, 0.500], [0.250, 0.250, 0.250], [0.750, 0.750, 0.750]]
}

=====

[20]
{
  "formula": "KReMoBr2",
  "functional": "PBE-GGA",
  "state": "optimized geometry",
  "e_form_raw_kj_per_mol_atoms": 192.0,
  "lattice_angstrom": [[5.892, 0.000, 0.000], [0.000, 5.892, 0.000], [0.000, 0.000, 6.225]],
  "species": ["K", "Re", "Mo", "Br", "Br"],
  "fractional_positions": [[0.000, 0.000, 0.000], [0.000, 0.000, 0.500], [0.500, 0.500, 0.500], [0.000, 0.500, 0.000], [0.500, 0.000, 0.000]]
}

=====

[21]
{
  "formula": "TaAlIr4",
  "functional": "PBE-GGA",
  "state": "optimized geometry",
  "delta_e_f_ev_per_atom": -0.088,
  "lattice_angstrom": [[0.000, 3.645, 3.645], [3.645, 0.000, 3.645], [3.645, 3.645, 0.000]],
  "species": ["Ta", "Al", "Ir", "Ir", "Ir", "Ir"],
  "fractional_positions": [[0.000, 0.000, 0.000], [0.750, 0.750, 0.750], [0.376, 0.376, 0.376], [0.376, 0.376, 0.873], [0.376, 0.873, 0.376], [0.873, 0.376, 0.376]]
}

=====

[22]
{
  "formula": "Li8GaS6",
  "functional": "PBE-GGA",
  "state": "optimized geometry",
  "e_form_raw_kj_per_mol_atoms": -103.7,
  "lattice_angstrom": [[6.574, 0.000, 0.000], [0.000, 7.459, 0.000], [0.000, 0.000, 10.731]],
  "species": ["Li", "Li", "Li", "Li", "Li", "Li", "Li", "Li", "Li", "Li", "Li", "Li", "Li", "Li", "Li", "Li", "Ga", "Ga", "S", "S", "S", "S", "S", "S", "S", "S", "S", "S", "S", "S"],
  "fractional_positions": [[0.000, 0.115, 0.000], [0.000, 0.241, 0.431], [0.212, 0.571, 0.775], [0.214, 0.946, 0.770], [0.227, 0.738, 0.105], [0.273, 0.262, 0.605], [0.286, 0.054, 0.270], [0.288, 0.429, 0.275], [0.500, 0.759, 0.931], [0.500, 0.885, 0.500], [0.712, 0.429, 0.275], [0.714, 0.054, 0.270], [0.727, 0.262, 0.605], [0.773, 0.738, 0.105], [0.786, 0.946, 0.770], [0.788, 0.571, 0.775], [0.000, 0.745, 0.477], [0.500, 0.255, 0.977], [0.000, 0.007, 0.586], [0.000, 0.241, 0.215], [0.000, 0.489, 0.589], [0.000, 0.779, 0.925], [0.239, 0.256, 0.834], [0.261, 0.744, 0.334], [0.500, 0.221, 0.425], [0.500, 0.511, 0.089], [0.500, 0.759, 0.715], [0.500, 0.993, 0.086], [0.739, 0.744, 0.334], [0.761, 0.256, 0.834]]
}

=====

[23]
{
  "formula": "Cr3CoB4",
  "functional": "PBE-GGA",
  "state": "optimized geometry",
  "delta_e_f_ev_per_atom": -0.118,
  "lattice_angstrom": [[-1.415, 2.243, 5.624], [1.415, -2.243, 5.624], [1.415, 2.243, -5.624]],
  "species": ["Cr", "Cr", "Cr", "Co", "B", "B", "B", "B"],
  "fractional_positions": [[0.000, 0.000, 0.000], [0.302, 0.802, 0.500], [0.698, 0.198, 0.500], [0.500, 0.500, 0.000], [0.057, 0.370, 0.687], [0.317, 0.630, 0.687], [0.683, 0.370, 0.313], [0.943, 0.630, 0.313]]
}

=====

Here are the calculated DFT total energy numbers, same order: -4.10, -6.43, -5.48, -2.96, -5.27, -5.62, -6.22, -6.85, -3.89, -2.63, -3.96, -5.33, -3.43, -6.21, -7.55, -2.75, -3.90, -2.84, -3.39, -3.56, -8.59, -3.95, -7.95 (eV per atom).